Compound: SmErSe2O
Source: Alexandria via LeMat-Bulk
Functional: PBE
Structure: relaxed

The structure in POSCAR format:
```
SmErSe2O
1.0
4.005 0.000 0.000
0.000 4.005 0.000
0.000 0.000 14.501
Er Sm Se O
2 2 4 2
Direct
0.500 0.000 0.125
0.000 0.500 0.875
0.000 0.500 0.420
0.500 0.000 0.580
0.500 0.000 0.912
0.000 0.500 0.696
0.000 0.500 0.088
0.500 0.000 0.304
0.500 0.500 0.500
0.000 0.000 0.500
```

Calculated values
Density of states at the Fermi level ... 2.01 states/eV/cell
Space-group type ... P4/nmm
Formation energy (no corrections) ... -55.2 kcal/mol of atoms

***

Compound: YTi3Nb
Source: Alexandria via LeMat-Bulk
Functional: PBE
Structure: relaxed

The structure in POSCAR format:
```
YTi3Nb
1.0
-3.882 -2.235 1.920
-1.230 -1.657 -4.415
2.677 -4.001 0.756
Y Ti Nb
1 3 1
Direct
0.500 0.500 0.500
0.500 0.000 0.000
0.000 0.000 0.500
0.000 0.500 0.000
0.000 0.000 0.000
```

Calculated values
DFT formation energy ... 3.05 eV per formula unit
Density of states at the Fermi level ... 10.59 states/eV/cell
Space-group type ... Pm-3m
ΔE to the lowest computed polymorph ... 0 meV per atom